Density functional theory data (PBE) for a geometry-optimized Tm2Mg3Pd4 structure.

The structure in POSCAR format:
```
Tm2Mg3Pd4
1.0
5.7742 0.0000 0.0000
0.0000 7.3620 0.0000
-2.8871 0.0000 8.2072
Pd Tm Mg
8 4 6
Direct
0.1650 0.9622 0.3299
0.8350 0.0378 0.6701
0.3157 0.2500 0.1314
0.6650 0.5378 0.3299
0.1843 0.7500 0.8686
0.8157 0.2500 0.1314
0.3350 0.4622 0.6701
0.6843 0.7500 0.8686
0.1012 0.5906 0.2024
0.8988 0.4094 0.7976
0.6012 0.9094 0.2024
0.3988 0.0906 0.7976
0.9796 0.2500 0.4591
0.4796 0.2500 0.4591
0.0204 0.7500 0.5409
0.5000 0.5000 0.0000
0.0000 0.0000 0.0000
0.5204 0.7500 0.5409
```

As for the symmetry: No. 64. The energy relative to the lowest polymorph listed for this composition is 16 meV/atom. The value obtained for the formation energy is -6.37 eV/f.u.